*A*
# AcGaW GGA-PBE optimized geometry
# ρ, g/cm³: 8.488
# Volume, Å³/atom: 31.34
data_AcGaW
_space_group_name_H-M_alt 'F -4 3 m'
_space_group_IT_number 216
_space_group_name_Hall 'F -4 2 3'
_cell_length_a 7.2179
_cell_length_b 7.2179
_cell_length_c 7.2179
_cell_angle_alpha 90.00
_cell_angle_beta 90.00
_cell_angle_gamma 90.00
loop_
_atom_site_label
_atom_site_fract_x
_atom_site_fract_y
_atom_site_fract_z
Ac1 0.0000 0.0000 0.0000
Ga1 0.2500 0.2500 0.7500
W1 0.2500 0.2500 0.2500


*B*
# AcGaW GGA-PBE optimized geometry
# ρ, g/cm³: 10.099
# Volume, Å³/atom: 26.34
data_AcGaW
_space_group_name_H-M_alt 'F -4 3 m'
_space_group_IT_number 216
_space_group_name_Hall 'F -4 2 3'
_cell_length_a 6.8118
_cell_length_b 6.8118
_cell_length_c 6.8118
_cell_angle_alpha 90.00
_cell_angle_beta 90.00
_cell_angle_gamma 90.00
loop_
_atom_site_label
_atom_site_fract_x
_atom_site_fract_y
_atom_site_fract_z
Ac1 0.0000 0.0000 0.0000
Ga1 0.2500 0.2500 0.2500
W1 0.0000 0.0000 0.5000


*B* has the most favorable energy; the next structure is 720 meV/atom above.